RbLaCrN3 | GGA-PBE | relaxed

The calculation puts the uncorrected formation energy at -0.43 eV/atom.

The space group is C2/m (No. 12) and the conventional cell measures 13.819, 3.790 and 8.333 Å, with angles of 90.00, 104.80 and 90.00 degrees. The distinct sites, in fractional coordinates, are Rb at (0.133, 0.000, 0.068), La at (0.160, 0.000, 0.599), Cr at (0.012, 0.500, 0.339), N at (0.015, 0.000, 0.357), N at (0.115, 0.500, 0.780) and N at (0.149, 0.500, 0.363).